Below is a relaxed structure of NaAc2Eu, with properties calculated at the PBE level.

abc: 6.362 6.362 4.146
angles: 90.00 90.00 90.00
Fractional positions:
1 Na 0.000 0.000 0.000
2 Ac 0.000 0.500 0.500
3 Ac 0.500 0.000 0.500
4 Eu 0.500 0.500 0.000

Output
Total magnetization   7.64 μB per formula unit
Distance to the lowest polymorph of the same formula   21 meV per atom
ΔE_f   0.152 eV/atom



Below is a relaxed structure of LaTlZnCd2, with properties calculated at the PBE level.

abc: 6.375 6.375 6.245
angles: 90.00 90.00 90.00
Fractional positions:
1 La 0.000 0.000 0.000
2 Tl 0.000 0.000 0.500
3 Zn 0.500 0.500 0.500
4 Cd 0.000 0.500 0.000
5 Cd 0.500 0.000 0.000

Output
Total magnetization   1.42 μB per formula unit
ΔE_f   0.758 eV/atom